Compound: K3SrMn
Source: Alexandria
Functional: PBE
Structure: relaxed

Lattice parameters (Å, degrees): 6.807 6.807 6.807 90.00 90.00 90.00
Atoms (fractional coordinates):
1 K 0.000 0.000 0.500
2 K 0.000 0.500 0.000
3 K 0.500 0.000 0.000
4 Sr 0.500 0.500 0.500
5 Mn 0.000 0.000 0.000

DFT formation energy: 66 kJ/mol of atoms
Volume: 63.1 A^3/atom
N(E_F): 8.494 states/eV per cell
SG: Pm-3m